Material: Pr3TaCl2O6
Method: DFT, PBE
State: relaxed

Values from the calculation:
Magnetization   0.0 μB per formula unit
Total energy   -7.64 eV per atom
Formation energy (no corrections)   -2.672 eV/atom

Structure (POSCAR):
```
Pr3TaCl2O6
1.0
5.635 0.000 0.733
0.000 6.778 0.000
0.212 -3.389 5.983
Pr Ta Cl O
3 1 2 6
Cartesian
0.000 3.389 0.000 Pr
2.923 1.694 3.358 Pr
2.923 -1.694 3.358 Pr
2.817 0.000 0.366 Ta
0.839 3.389 2.633 Cl
5.008 0.000 4.083 Cl
3.957 1.557 1.186 O
1.890 1.832 5.530 O
3.915 3.389 4.565 O
1.932 0.000 2.151 O
1.890 -1.832 5.530 O
3.957 5.221 1.186 O
```